1.
This record from Alexandria describes a relaxed RbLiAgI3 crystal. The functional is PBE.

```
12
Lattice="-0.8045 -1.9267 -3.9917 9.4622 -2.1910 -0.8496 -4.4977 -8.6172 5.0659" Properties=species:S:1:pos:R:3 pbc="T T T"
I 7.1065 -4.5248 -3.0611
I -2.9464 -8.2101 3.2858
I 5.1995 -6.5186 0.8275
I -1.0395 -6.2163 -0.6028
I 1.0191 -8.7528 2.7485
I 3.1409 -3.9821 -2.5238
Li -1.9679 -5.9677 2.0062
Li 6.1279 -6.7672 -1.7815
Ag -1.3902 -9.9659 1.2777
Ag 5.5502 -2.7690 -1.0530
Rb 3.4601 -9.8703 0.2540
Rb 0.6999 -2.8646 -0.0293
```

Output
- raw formation energy (eV/atom) = -0.948

---

2.
This record from Alexandria describes a relaxed LiRe2AgI crystal. The functional is PBE.

```
5
Lattice="-2.6094 3.1435 1.8017 -1.8926 -2.9858 2.4684 3.0473 0.7030 3.1869" Properties=species:S:1:pos:R:3 pbc="T T T"
Ag -0.9463 -1.4929 1.2342
Li 0.0000 0.0000 0.0000
I -0.7273 0.4303 3.7285
Re -1.3047 1.5717 0.9009
Re 1.5237 0.3515 1.5934
```

Output
- raw formation energy (eV/atom) = 1.850

---

3.
This record from Alexandria describes a relaxed LiReAgI6 crystal. The functional is PBE.

```
18
Lattice="-0.0562 6.7665 -2.5985 -3.4950 -1.5462 6.1592 11.0085 2.7561 6.9385" Properties=species:S:1:pos:R:3 pbc="T T T"
I 6.1089 5.1944 10.4165
I 8.2861 4.1577 7.3739
I -0.8289 3.8188 3.1253
I 2.8484 2.9403 3.7353
I 0.1821 6.4648 0.4702
I 3.9634 5.4335 0.9760
I 4.6089 5.0361 6.7638
I 5.6728 1.3081 6.5566
I 1.3484 2.7821 0.0826
I 1.7844 6.6683 3.9426
I 3.4939 2.5429 9.5231
I 7.2751 1.5116 10.0290
Re 1.5496 4.6846 2.0553
Re 5.9076 3.2918 8.4438
Li 7.0539 6.0627 5.5246
Li 0.4034 1.9137 4.9746
Ag 5.5042 1.3781 3.4693
Ag 0.0000 0.0000 0.0000
```

Output
- raw formation energy (eV/atom) = -0.231

---

4.
This record from Alexandria describes a relaxed LiAgSb2I crystal. The functional is PBE.

```
5
Lattice="5.3120 0.0000 0.0000 0.0000 5.3120 0.0000 0.0000 0.0000 6.4872" Properties=species:S:1:pos:R:3 pbc="T T T"
Ag 0.0000 0.0000 0.0000
Sb 2.6560 0.0000 0.0000
Sb 0.0000 2.6560 0.0000
Li 2.6560 2.6560 3.2436
I 0.0000 0.0000 3.2436
```

Output
- relative energy among the computed polymorphs (eV/f.u.) = 0.00
- raw formation energy (eV/atom) = 0.335

---

5.
This record from Alexandria describes a relaxed LiSmAg2I6 crystal. The functional is PBE.

```
10
Lattice="7.7551 0.0002 -0.0018 -3.8770 6.7131 -0.0007 -3.8756 -2.2375 7.1740" Properties=species:S:1:pos:R:3 pbc="T T T"
Li 0.0669 4.5076 7.0335
I 1.4247 2.4530 5.2614
I 2.5223 0.1868 1.6251
I 2.8423 4.5327 1.6227
I -1.3103 2.0804 1.6248
I -2.3987 4.3494 5.2609
I -2.7245 -0.0010 5.2616
Sm 3.9364 2.2694 3.4450
Ag 0.0596 4.5025 1.7370
Ag 0.0576 0.0288 5.1544
```

Output
- raw formation energy (eV/atom) = -0.853

---

6.
This record from Alexandria describes a relaxed LiAgSn2I6 crystal. The functional is PBE.

```
10
Lattice="7.8538 0.0000 -0.0019 3.9269 6.7987 -0.0007 3.9247 2.2668 7.1192" Properties=species:S:1:pos:R:3 pbc="T T T"
Ag 11.7752 6.7985 3.8149
I 10.7375 4.5593 1.7696
I 8.9213 2.3578 5.3403
I 5.4348 4.6949 5.3407
I 6.3899 7.0161 1.7691
I 9.2009 6.5445 5.3451
I 6.4352 2.0228 1.7707
Sn 3.9254 2.2681 6.9954
Sn 7.8534 4.5338 3.3728
Li 3.9265 2.2652 0.1734
```

Output
- raw formation energy (eV/atom) = -0.552